Record 1
The following is a GGA-PBE calculation of Sc2PaTcO8 after structural relaxation, from the Alexandria database.

a b c (Å): 6.801 6.931 6.547
angles (deg): 90.00 90.00 90.00
Space group Cmmm (No. 65)
One atom of each set of equivalent atoms:
Sc 0.000 0.000 0.242 (multiplicity 4)
Pa 0.000 0.500 0.500 (multiplicity 2)
Tc 0.000 0.500 0.000 (multiplicity 2)
O 0.000 0.306 0.228 (multiplicity 8)
O 0.190 0.000 0.500 (multiplicity 4)
O 0.213 0.000 0.000 (multiplicity 4)

Results
raw formation energy = -2870 meV per atom



Record 2
The following is a GGA-PBE calculation of Y3URu4 after structural relaxation, from the Alexandria database.

a b c (Å): 14.524 4.796 4.796
angles (deg): 90.00 109.20 90.00
Space group C2/m (No. 12)
One atom of each set of equivalent atoms:
Y 0.000 0.000 0.000 (multiplicity 2)
Y 0.249 0.000 0.249 (multiplicity 4)
U 0.000 0.500 0.500 (multiplicity 2)
Ru 0.114 0.000 0.614 (multiplicity 4)
Ru 0.114 0.500 0.115 (multiplicity 4)

Results
excess energy over the best structure of this formula in the dataset = 0 meV/atom
ΔH_f (0 K) = -0.3412 eV/atom



Record 3
The following is a GGA-PBE calculation of AsOs2Pb after structural relaxation, from the Alexandria database.

a b c (Å): 4.236 4.236 7.806
angles (deg): 90.00 90.00 90.00
Space group I-4m2 (No. 119)
One atom of each set of equivalent atoms:
As 0.000 0.000 0.000 (multiplicity 2)
Os 0.000 0.000 0.500 (multiplicity 2)
Os 0.000 0.500 0.750 (multiplicity 2)
Pb 0.000 0.500 0.250 (multiplicity 2)

Results
excess energy over the best structure of this formula in the dataset = 647 meV/atom
ΔH_f (0 K) = 1.0472 eV/atom



Record 4
The following is a GGA-PBE calculation of Cd2In2I after structural relaxation, from the Alexandria database.

a b c (Å): 9.030 9.030 3.739
angles (deg): 90.00 90.00 90.00
Space group P4/mbm (No. 127)
One atom of each set of equivalent atoms:
Cd 0.119 0.381 0.000 (multiplicity 4)
In 0.185 0.685 0.500 (multiplicity 4)
I 0.000 0.000 0.500 (multiplicity 2)

Results
excess energy over the best structure of this formula in the dataset = 0 meV/atom
raw formation energy = -27 meV per atom



Record 5
The following is a GGA-PBE calculation of RbCoPbCl6 after structural relaxation, from the Alexandria database.

a b c (Å): 6.9293 6.9293 7.1403
angles (deg): 90.00 90.00 120.00
Space group P312 (No. 149)
One atom of each set of equivalent atoms:
Rb 0.0000 0.0000 0.0000 (multiplicity 1)
Co 0.6667 0.3333 0.5000 (multiplicity 1)
Pb 0.3333 0.6667 0.5000 (multiplicity 1)
Cl 0.3908 0.0475 0.6978 (multiplicity 6)

Results
raw formation energy = -1019 meV per atom



Record 6
The following is a GGA-PBE calculation of AlTlTc2 after structural relaxation, from the Alexandria database.

a b c (Å): 2.993 2.993 7.979
angles (deg): 90.00 90.00 90.00
Space group P4mm (No. 99)
One atom of each set of equivalent atoms:
Al 0.000 0.000 0.000 (multiplicity 1)
Tl 0.500 0.500 0.669 (multiplicity 1)
Tc 0.000 0.000 0.388 (multiplicity 1)
Tc 0.500 0.500 0.202 (multiplicity 1)

Results
excess energy over the best structure of this formula in the dataset = 0 meV/atom
ΔH_f (0 K) = 0.1274 eV/atom



Energy for the records above, in order: -8.885 -8.814 -6.657 -1.798 -3.559 -6.583 eV per atom